(1)
{
  "formula": "Ba3HfTe",
  "functional": "PBE",
  "state": "relaxed",
  "cell": [[6.539, 0.000, 0.000], [0.000, 6.539, 0.000], [0.000, 0.000, 6.539]],
  "species": ["Ba", "Ba", "Ba", "Hf", "Te"],
  "fractional_positions": [[0.000, 0.000, 0.500], [0.000, 0.500, 0.000], [0.500, 0.000, 0.000], [0.500, 0.500, 0.500], [0.000, 0.000, 0.000]],
  "sg": "No. 221",
  "de_polymorph_ev_per_fu": 0.00,
  "e_form_raw_mev_per_atom": 223
}



(2)
{
  "formula": "BaHf2Te2",
  "functional": "PBE",
  "state": "relaxed",
  "cell": [[-2.116, 2.116, 8.163], [2.116, -2.116, 8.163], [2.116, 2.116, -8.163]],
  "species": ["Ba", "Hf", "Hf", "Te", "Te"],
  "fractional_positions": [[0.000, 0.000, 0.000], [0.250, 0.750, 0.500], [0.750, 0.250, 0.500], [0.380, 0.380, 0.000], [0.620, 0.620, 0.000]],
  "sg": "No. 139",
  "e_form_raw_mev_per_atom": -740
}



(3)
{
  "formula": "Ba2HfTe",
  "functional": "PBE",
  "state": "relaxed",
  "cell": [[-4.837, 4.837, 3.206], [4.837, -4.837, 3.206], [4.837, 4.837, -3.206]],
  "species": ["Ba", "Ba", "Ba", "Ba", "Hf", "Hf", "Te", "Te"],
  "fractional_positions": [[0.094, 0.625, 0.969], [0.375, 0.344, 0.469], [0.656, 0.125, 0.031], [0.875, 0.906, 0.531], [0.250, 0.750, 0.500], [0.500, 0.500, 0.000], [0.000, 0.000, 0.000], [0.750, 0.250, 0.500]],
  "sg": "No. 122",
  "e_form_raw_mev_per_atom": 175
}